[1]
Below is a relaxed Nd2RhSe crystal, with properties calculated at the PBE-GGA level.

Calculated values
Mass density (g cm⁻³): 8.21
Symmetry: P4/mmm, No. 123
E above lowest polymorph (meV per atom): 147

```
Nd2RhSe
1.0
-3.084 -1.536 1.030
1.845 -2.419 1.917
-0.258 4.443 5.855
Nd Se Rh
2 1 1
Direct
0.000 0.000 0.236
0.000 0.000 0.764
0.500 0.500 0.500
0.500 0.500 0.000
```


[2]
Below is a relaxed Nd3RhSe2 crystal, with properties calculated at the PBE-GGA level.

Calculated values
Mass density (g cm⁻³): 7.14
Symmetry: Immm, No. 71

```
Nd3RhSe2
1.0
3.935 0.000 -1.115
-0.634 5.591 -2.237
-0.012 -0.295 7.461
Se Nd Rh
2 3 1
Direct
0.671 0.171 0.343
0.329 0.829 0.657
0.348 0.348 0.697
0.000 0.000 0.000
0.652 0.652 0.303
0.000 0.500 0.000
```


no.,N(E_F) (states/eV per cell),total moment (μB/f.u.),final energy (hartree per atom)
1,1.72,0.00,-0.227
2,5.16,0.00,-0.227